<i>
DFT (PBE-GGA) results for crystalline NaPd3C at its relaxed geometry.

Structure (extended XYZ):
```
5
Lattice="-3.474 -2.236 0.734 1.648 -3.246 -2.088 1.680 -1.441 3.565" Properties=species:S:1:pos:R:3 pbc="T T T"
C 0.000 0.000 0.000
Na -0.073 -3.461 1.106
Pd -1.737 -1.118 0.367
Pd 0.824 -1.623 -1.044
Pd 0.840 -0.720 1.783
```

Total magnetization = 0.00 μB per formula unit

<ii>
DFT (PBE-GGA) results for crystalline NaPd3C at its relaxed geometry.

Structure (extended XYZ):
```
5
Lattice="-1.552 3.846 2.078 -0.362 -2.311 4.006 4.357 1.178 1.073" Properties=species:S:1:pos:R:3 pbc="T T T"
Pd -0.181 -1.155 2.003
Pd -0.776 1.923 1.039
Pd 2.178 0.589 0.536
Na 0.000 0.000 0.000
C 1.222 1.357 3.579
```

Total magnetization = 1.09 μB per formula unit

<i> comes first in stability; the runner-up is 218.0 kJ/mol of atoms higher.